Below is a relaxed structure of Sc2Co5P4, with properties calculated at the GGA-PBE level.

abc: 4.9845 5.0686 7.0159
angles: 79.94 69.19 60.55
With the nearest neighbours (Å) after each atom.
Sites, in units of the cell vectors:
Sc 0.8667 0.0000 0.2666  6 P 2.84-3.05, 10 Co 2.96-3.08
Sc 0.1333 0.0000 0.7334  6 P 2.84-3.05, 10 Co 2.96-3.08
Co 0.5000 0.0000 0.0000  4 P 2.19
Co 0.0000 0.5000 0.0000  4 P 2.28, 4 Co 2.49-2.53
Co 0.5000 0.5000 0.0000  4 P 2.28, 4 Co 2.49-2.53
Co 0.2500 0.5000 0.5000  4 P 2.17
Co 0.7500 0.5000 0.5000  4 P 2.17
P 0.4758 0.3093 0.7392  5 Co 2.17-2.28
P 0.5242 0.6907 0.2608  5 Co 2.17-2.28
P 0.2149 0.3093 0.2608  5 Co 2.17-2.28
P 0.7851 0.6907 0.7392  5 Co 2.17-2.28

Properties
**N(E_F)**: 5.9 states/eV/f.u.
**E_form**: -0.768 eV per atom
**Calculated total energy**: -78.3 eV per formula unit
**SG**: Fmmm (69)